Entry from Alexandria: NbGaMoRh after structural relaxation (PBE-GGA). Values from VASP.

Results
D(E_F) = 4.60 states/eV per cell
Density = 9.54 g/cm³
E_form = -0.915 eV/f.u.
Final energy = -32.2 eV for the cell shown
V = 15.73 Å³/atom

Structure (Quantum ESPRESSO input):
```
&SYSTEM
  ibrav = 0, nat = 4, ntyp = 4
/
ATOMIC_SPECIES
Rh 102.91 Rh.upf
Ga 69.72 Ga.upf
Mo 95.94 Mo.upf
Nb 92.91 Nb.upf
ATOMIC_POSITIONS angstrom
Rh 0.000 0.000 0.000
Ga 2.232 1.289 0.911
Mo 4.464 2.578 1.823
Nb 6.697 3.866 2.734
CELL_PARAMETERS angstrom
4.464 0.000 0.000
2.232 3.866 0.000
2.232 1.289 3.645
```